A plane-wave DFT calculation with PBE was carried out for crystalline Ni2Ir at its relaxed geometry.

Cell: 4.6954 4.6954 7.6032 Å, 90.00 90.00 60.00°
Closest atoms and distances in Å follow each position.
Fractional coordinates of all 12 atoms:
Ni 0.0000 0.0000 0.0000  6 Ni 2.35
Ni 0.0000 0.0000 0.5000  6 Ni 2.35
Ni 0.8304 0.3393 0.7500  6 Ni 2.31-2.39
Ni 0.3393 0.8304 0.7500  6 Ni 2.31-2.39
Ni 0.1696 0.1696 0.2500  6 Ni 2.31-2.39
Ni 0.8304 0.8304 0.7500  6 Ni 2.31-2.39
Ni 0.6607 0.1696 0.2500  6 Ni 2.31-2.39
Ni 0.1696 0.6607 0.2500  6 Ni 2.31-2.39
Ir 0.6667 0.6667 0.0630  12 Ni 2.73-2.75, 4 Ir 2.84-2.88
Ir 0.6667 0.6667 0.4370  12 Ni 2.73-2.75, 4 Ir 2.84-2.88
Ir 0.3333 0.3333 0.5630  12 Ni 2.73-2.75, 4 Ir 2.84-2.88
Ir 0.3333 0.3333 0.9370  12 Ni 2.73-2.75, 4 Ir 2.84-2.88

Properties
Distance to the lowest polymorph of the same formula   120 meV per atom
DFT formation energy   0.14 eV per atom
Density of states at the Fermi level   18.89 states/eV per cell
Theoretical density   14.2 Mg/m³
DFT total energy   -80.072 eV/cell
Calculated volume   12.1 Å³/atom


A plane-wave DFT calculation with PBE was carried out for crystalline Ni2Ir at its relaxed geometry.

Cell: 2.6403 2.6403 6.1921 Å, 90.00 90.00 120.00°
Closest atoms and distances in Å follow each position.
Fractional coordinates of all 3 atoms:
Ni 0.3333 0.6667 0.6594  9 Ni 2.49-2.64, 3 Ir 2.60
Ni 0.6667 0.3333 0.3406  9 Ni 2.49-2.64, 3 Ir 2.60
Ir 0.0000 0.0000 0.0000  6 Ni 2.60, 6 Ir 2.64

Properties
Distance to the lowest polymorph of the same formula   48 meV per atom
DFT formation energy   0.06 eV per atom
Density of states at the Fermi level   6.03 states/eV per cell
Theoretical density   13.8 Mg/m³
DFT total energy   -20.233 eV/cell
Calculated volume   12.5 Å³/atom


A plane-wave DFT calculation with PBE was carried out for crystalline Ni2Ir at its relaxed geometry.

Cell: 4.7426 4.7426 4.7426 Å, 106.46 106.46 115.68°
Closest atoms and distances in Å follow each position.
Fractional coordinates of all 6 atoms:
Ni 0.3550 0.1450 0.5000  1 Ni 2.33, 4 Ir 2.52
Ni 0.8550 0.3550 0.2099  1 Ni 2.33, 4 Ir 2.52
Ni 0.1450 0.6450 0.7901  1 Ni 2.33, 4 Ir 2.52
Ni 0.6450 0.8550 0.5000  1 Ni 2.33, 4 Ir 2.52
Ir 0.2500 0.2500 0.0000  8 Ni 2.52, 2 Ir 2.52
Ir 0.7500 0.7500 0.0000  8 Ni 2.52, 2 Ir 2.52

Properties
Distance to the lowest polymorph of the same formula   358 meV per atom
DFT formation energy   0.37 eV per atom
Density of states at the Fermi level   10.54 states/eV per cell
Theoretical density   12.6 Mg/m³
DFT total energy   -38.610 eV/cell
Calculated volume   13.6 Å³/atom


A plane-wave DFT calculation with PBE was carried out for crystalline NiIr2 at its relaxed geometry.

Cell: 5.7363 5.7363 5.7363 Å, 90.00 90.00 90.00°
Closest atoms and distances in Å follow each position.
Fractional coordinates of all 12 atoms:
Ni 0.0000 0.0000 0.0000  6 Ir 2.39
Ni 0.5000 0.5000 0.0000  6 Ir 2.39
Ni 0.5000 0.0000 0.5000  6 Ir 2.39
Ni 0.0000 0.5000 0.5000  6 Ir 2.39
Ir 0.3800 0.3800 0.3800  1 Ir 2.38, 3 Ni 2.39
Ir 0.6200 0.6200 0.6200  1 Ir 2.38, 3 Ni 2.39
Ir 0.8800 0.1200 0.6200  1 Ir 2.38, 3 Ni 2.39
Ir 0.1200 0.8800 0.3800  1 Ir 2.38, 3 Ni 2.39
Ir 0.6200 0.8800 0.1200  1 Ir 2.38, 3 Ni 2.39
Ir 0.3800 0.1200 0.8800  1 Ir 2.38, 3 Ni 2.39
Ir 0.1200 0.6200 0.8800  1 Ir 2.38, 3 Ni 2.39
Ir 0.8800 0.3800 0.1200  1 Ir 2.38, 3 Ni 2.39

Properties
DFT formation energy   0.95 eV per atom
Density of states at the Fermi level   25.92 states/eV per cell
Theoretical density   15.6 Mg/m³
DFT total energy   -82.616 eV/cell
Calculated volume   15.7 Å³/atom